(1)
PbSeI2N, relaxed, DFT GGA-PBEsol; uncorrected formation energy = 2.60 eV/f.u.
1.0
-3.0225 -0.5593 2.0693
1.7449 -5.7297 1.0000
3.0488 1.7901 4.9371
Pb I Se N
1 2 1 1
Direct
0.5000 0.5000 0.5000
0.0000 0.0000 0.5000
0.0000 0.5000 0.0000
0.0000 0.0000 0.0000
0.5000 0.0000 0.0000

(2)
BeCdSbTe2, relaxed, DFT GGA-PBEsol; uncorrected formation energy = 5.87 eV/f.u.
1.0
5.3976 0.0000 0.0000
0.0000 5.4804 0.0000
0.0000 0.0000 5.4804
Sb Te Be Cd
1 2 1 1
Direct
0.5000 0.0000 0.0000
0.0000 0.0000 0.5000
0.0000 0.5000 0.0000
0.5000 0.5000 0.5000
0.0000 0.0000 0.0000

(3)
RbPt, relaxed, DFT GGA-PBEsol; ΔH_f (0 K) = -0.08 eV per atom
1.0
4.5179 0.0000 0.0000
-2.2590 3.9112 0.1147
0.0000 -0.3697 14.3765
Rb Pt
3 3
Direct
0.0264 0.0529 0.9138
0.3531 0.7063 0.2222
0.6983 0.3967 0.5306
0.0297 0.0595 0.7046
0.3629 0.7258 0.7223
0.6961 0.3922 0.7399

no.,total magnetic moment (μB/f.u.)
1,0.00
2,0.00
3,0.00